(1)
# GGA-PBE ErTaGa2O8, relaxed
# final energy	-87.4	eV for the cell shown
# DOS(E_F)	9.039	states/eV per cell
# magnetic moment	0.172	μB per atom
# volume	12.53	A^3/atom
data_ErTaGa2O8
_chemical_formula_sum 'Er1 Ta1 Ga2 O8'
_space_group_name_H-M_alt 'P 1'
_space_group_IT_number 1
_space_group_name_Hall 'P 1'
_cell_length_a 5.805
_cell_length_b 5.805
_cell_length_c 5.805
_cell_angle_alpha 108.21
_cell_angle_beta 108.21
_cell_angle_gamma 112.02
loop_
_atom_site_label
_atom_site_type_symbol
_atom_site_fract_x
_atom_site_fract_y
_atom_site_fract_z
O1 O 0.285 0.109 0.824
O2 O 0.768 0.063 0.705
O3 O 0.937 0.642 0.705
O4 O 0.285 0.460 0.176
O5 O 0.891 0.715 0.176
O6 O 0.358 0.063 0.295
O7 O 0.540 0.715 0.824
O8 O 0.937 0.232 0.295
Er1 Er 0.250 0.750 0.500
Ga1 Ga 0.750 0.250 0.500
Ga2 Ga 0.500 0.500 0.000
Ta1 Ta 0.000 0.000 0.000


(2)
# GGA-PBE Tm4Cd3Pd, relaxed
# DOS(E_F)	6.328	states/eV per cell
# magnetic moment	0.000	μB per atom
# volume	24.01	A^3/atom
# calculated formation energy	-0.466	eV per atom
data_Tm4Cd3Pd
_chemical_formula_sum 'Tm4 Cd3 Pd1'
_space_group_name_H-M_alt 'P 1'
_space_group_IT_number 1
_space_group_name_Hall 'P 1'
_cell_length_a 3.611
_cell_length_b 3.611
_cell_length_c 14.730
_cell_angle_alpha 90.00
_cell_angle_beta 90.00
_cell_angle_gamma 90.00
loop_
_atom_site_label
_atom_site_type_symbol
_atom_site_fract_x
_atom_site_fract_y
_atom_site_fract_z
Cd1 Cd 0.500 0.500 0.756
Cd2 Cd 0.500 0.500 0.500
Cd3 Cd 0.500 0.500 0.244
Tm1 Tm 0.000 0.000 0.889
Tm2 Tm 0.000 0.000 0.111
Tm3 Tm 0.000 0.000 0.370
Tm4 Tm 0.000 0.000 0.630
Pd1 Pd 0.500 0.500 0.000


(3)
# GGA-PBE InPt4Rh, relaxed
# DOS(E_F)	6.873	states/eV per cell
# relative energy among the computed polymorphs	0	meV/atom
# magnetic moment	0.000	μB per atom
# volume	16.06	A^3/atom
# calculated formation energy	-0.213	eV per atom
data_InPt4Rh
_chemical_formula_sum 'In1 Pt4 Rh1'
_space_group_name_H-M_alt 'P 1'
_space_group_IT_number 1
_space_group_name_Hall 'P 1'
_cell_length_a 4.018
_cell_length_b 4.881
_cell_length_c 5.653
_cell_angle_alpha 105.87
_cell_angle_beta 90.00
_cell_angle_gamma 114.30
loop_
_atom_site_label
_atom_site_type_symbol
_atom_site_fract_x
_atom_site_fract_y
_atom_site_fract_z
Pt1 Pt 0.333 0.667 0.673
Pt2 Pt 0.667 0.333 0.327
Pt3 Pt 0.667 0.334 0.839
Pt4 Pt 0.333 0.666 0.161
Rh1 Rh 0.000 0.000 0.000
In1 In 0.000 0.000 0.500


(4)
# GGA-PBE Zn6AgPd, relaxed
# DOS(E_F)	2.781	states/eV per cell
# relative energy among the computed polymorphs	0	meV/atom
# magnetic moment	0.000	μB per atom
# volume	14.97	A^3/atom
# calculated formation energy	-0.161	eV per atom
data_Zn6AgPd
_chemical_formula_sum 'Zn6 Ag1 Pd1'
_space_group_name_H-M_alt 'P 1'
_space_group_IT_number 1
_space_group_name_Hall 'P 1'
_cell_length_a 4.386
_cell_length_b 5.542
_cell_length_c 5.542
_cell_angle_alpha 117.26
_cell_angle_beta 90.00
_cell_angle_gamma 90.00
loop_
_atom_site_label
_atom_site_type_symbol
_atom_site_fract_x
_atom_site_fract_y
_atom_site_fract_z
Zn1 Zn 0.000 0.586 0.414
Zn2 Zn 0.000 0.078 0.406
Zn3 Zn 0.500 0.916 0.084
Zn4 Zn 0.000 0.594 0.922
Zn5 Zn 0.500 0.912 0.587
Zn6 Zn 0.500 0.413 0.088
Pd1 Pd 0.000 0.089 0.911
Ag1 Ag 0.500 0.411 0.589


(5)
# GGA-PBE NdSc2ZnHg4, relaxed
# DOS(E_F)	5.951	states/eV per cell
# magnetic moment	0.000	μB per atom
# volume	23.24	A^3/atom
# calculated formation energy	-0.313	eV per atom
data_NdSc2ZnHg4
_chemical_formula_sum 'Nd1 Sc2 Zn1 Hg4'
_space_group_name_H-M_alt 'P 1'
_space_group_IT_number 1
_space_group_name_Hall 'P 1'
_cell_length_a 4.865
_cell_length_b 4.865
_cell_length_c 9.496
_cell_angle_alpha 75.16
_cell_angle_beta 75.16
_cell_angle_gamma 60.00
loop_
_atom_site_label
_atom_site_type_symbol
_atom_site_fract_x
_atom_site_fract_y
_atom_site_fract_z
Sc1 Sc 0.764 0.764 0.709
Sc2 Sc 0.236 0.236 0.291
Hg1 Hg 0.126 0.126 0.623
Hg2 Hg 0.874 0.874 0.377
Hg3 Hg 0.389 0.389 0.832
Hg4 Hg 0.611 0.611 0.168
Zn1 Zn 0.500 0.500 0.500
Nd1 Nd 0.000 0.000 0.000


(6)
# GGA-PBE K2ZrAs2O6, relaxed
# final energy	-71.9	eV for the cell shown
# DOS(E_F)	0.000	states/eV per cell
# magnetic moment	0.000	μB per atom
# volume	18.62	A^3/atom
data_K2ZrAs2O6
_chemical_formula_sum 'K2 Zr1 As2 O6'
_space_group_name_H-M_alt 'P 1'
_space_group_IT_number 1
_space_group_name_Hall 'P 1'
_cell_length_a 5.790
_cell_length_b 5.790
_cell_length_c 7.068
_cell_angle_alpha 93.24
_cell_angle_beta 90.00
_cell_angle_gamma 120.00
loop_
_atom_site_label
_atom_site_type_symbol
_atom_site_fract_x
_atom_site_fract_y
_atom_site_fract_z
O1 O 0.683 0.367 0.666
O2 O 0.158 0.841 0.668
O3 O 0.316 0.159 0.332
O4 O 0.317 0.633 0.334
O5 O 0.684 0.841 0.668
O6 O 0.842 0.159 0.332
K1 K 0.176 0.351 0.692
K2 K 0.824 0.649 0.308
As1 As 0.847 0.693 0.787
As2 As 0.153 0.307 0.213
Zr1 Zr 0.500 0.000 0.500


Repeat the first record exactly.
# GGA-PBE ErTaGa2O8, relaxed
# final energy	-87.4	eV for the cell shown
# DOS(E_F)	9.039	states/eV per cell
# magnetic moment	0.172	μB per atom
# volume	12.53	A^3/atom
data_ErTaGa2O8
_chemical_formula_sum 'Er1 Ta1 Ga2 O8'
_space_group_name_H-M_alt 'P 1'
_space_group_IT_number 1
_space_group_name_Hall 'P 1'
_cell_length_a 5.805
_cell_length_b 5.805
_cell_length_c 5.805
_cell_angle_alpha 108.21
_cell_angle_beta 108.21
_cell_angle_gamma 112.02
loop_
_atom_site_label
_atom_site_type_symbol
_atom_site_fract_x
_atom_site_fract_y
_atom_site_fract_z
O1 O 0.285 0.109 0.824
O2 O 0.768 0.063 0.705
O3 O 0.937 0.642 0.705
O4 O 0.285 0.460 0.176
O5 O 0.891 0.715 0.176
O6 O 0.358 0.063 0.295
O7 O 0.540 0.715 0.824
O8 O 0.937 0.232 0.295
Er1 Er 0.250 0.750 0.500
Ga1 Ga 0.750 0.250 0.500
Ga2 Ga 0.500 0.500 0.000
Ta1 Ta 0.000 0.000 0.000


What did the second record say?
# GGA-PBE Tm4Cd3Pd, relaxed
# DOS(E_F)	6.328	states/eV per cell
# magnetic moment	0.000	μB per atom
# volume	24.01	A^3/atom
# calculated formation energy	-0.466	eV per atom
data_Tm4Cd3Pd
_chemical_formula_sum 'Tm4 Cd3 Pd1'
_space_group_name_H-M_alt 'P 1'
_space_group_IT_number 1
_space_group_name_Hall 'P 1'
_cell_length_a 3.611
_cell_length_b 3.611
_cell_length_c 14.730
_cell_angle_alpha 90.00
_cell_angle_beta 90.00
_cell_angle_gamma 90.00
loop_
_atom_site_label
_atom_site_type_symbol
_atom_site_fract_x
_atom_site_fract_y
_atom_site_fract_z
Cd1 Cd 0.500 0.500 0.756
Cd2 Cd 0.500 0.500 0.500
Cd3 Cd 0.500 0.500 0.244
Tm1 Tm 0.000 0.000 0.889
Tm2 Tm 0.000 0.000 0.111
Tm3 Tm 0.000 0.000 0.370
Tm4 Tm 0.000 0.000 0.630
Pd1 Pd 0.500 0.500 0.000


> The lowest DOS(E_F) belongs to which entry?

K2ZrAs2O6